Record 1
PBE CsGeB2Br8, relaxed; formation energy from raw total energies = -0.534 eV/atom
1.0
3.318 1.916 10.576
-3.318 1.916 10.576
0.000 -3.831 10.576
Cs Ge B Br
1 1 2 8
direct
0.000 0.000 0.000 Cs
0.500 0.500 0.500 Ge
0.249 0.249 0.249 B
0.751 0.751 0.751 B
0.054 0.473 0.788 Br
0.212 0.946 0.527 Br
0.313 0.313 0.313 Br
0.473 0.788 0.054 Br
0.527 0.212 0.946 Br
0.687 0.687 0.687 Br
0.788 0.054 0.473 Br
0.946 0.527 0.212 Br


Record 2
PBE Ti2BeNbCr, relaxed; ΔH_f (0 K) = 764 meV per atom
1.0
4.251 0.000 0.000
0.000 4.251 0.000
0.000 0.000 4.452
Ti Be Nb Cr
2 1 1 1
direct
0.000 0.500 0.000 Ti
0.500 0.000 0.000 Ti
0.000 0.000 0.000 Be
0.000 0.000 0.500 Nb
0.500 0.500 0.500 Cr


Number 1: ρ 3.6 Mg/m³. Number 2: ρ 5.2 Mg/m³.